# CeSm2Sc | the Alexandria database | PBE | optimized geometry
data_CeSm2Sc
_chemical_formula_sum 'Ce3 Sm6 Sc3'
_symmetry_space_group_name_H-M 'R -3 m'
_symmetry_Int_Tables_number 166
_symmetry_space_group_name_Hall '-R 3 2"'
_cell_length_a 3.4172
_cell_length_b 3.4172
_cell_length_c 36.0816
_cell_angle_alpha 90.00
_cell_angle_beta 90.00
_cell_angle_gamma 120.00
loop_
_atom_site_label
_atom_site_fract_x
_atom_site_fract_y
_atom_site_fract_z
_atom_site_occupancy
Ce1 0.0000 0.0000 0.0000 1
Sm1 0.0000 0.0000 0.4124 1
Sc1 0.0000 0.0000 0.5000 1
# - energy of formation from the pure elements (eV per formula unit) = 0.965
# - distance to the lowest polymorph of the same formula (meV/atom) = 162
# - DOS at the Fermi energy (states/eV per cell) = 22.6

***

# CeSm2Sc | the Alexandria database | PBE | optimized geometry
data_CeSm2Sc
_chemical_formula_sum 'Ce3 Sm6 Sc3'
_symmetry_space_group_name_H-M 'R 3 m'
_symmetry_Int_Tables_number 160
_symmetry_space_group_name_Hall 'R 3 -2"'
_cell_length_a 3.5048
_cell_length_b 3.5048
_cell_length_c 33.8862
_cell_angle_alpha 90.00
_cell_angle_beta 90.00
_cell_angle_gamma 120.00
loop_
_atom_site_label
_atom_site_fract_x
_atom_site_fract_y
_atom_site_fract_z
_atom_site_occupancy
Ce1 0.0000 0.0000 0.0000 1
Sm1 0.0000 0.0000 0.4186 1
Sm2 0.0000 0.0000 0.5814 1
Sc1 0.0000 0.0000 0.8335 1
# - energy of formation from the pure elements (eV per formula unit) = 0.318
# - distance to the lowest polymorph of the same formula (meV/atom) = 0
# - DOS at the Fermi energy (states/eV per cell) = 23.4

***

# CeSmSc6 | the Alexandria database | PBE | optimized geometry
data_CeSmSc6
_chemical_formula_sum 'Ce1 Sm1 Sc6'
_symmetry_space_group_name_H-M 'P -6 m 2'
_symmetry_Int_Tables_number 187
_symmetry_space_group_name_Hall 'P -6 2'
_cell_length_a 6.7423
_cell_length_b 6.7423
_cell_length_c 5.3555
_cell_angle_alpha 90.00
_cell_angle_beta 90.00
_cell_angle_gamma 120.00
loop_
_atom_site_label
_atom_site_fract_x
_atom_site_fract_y
_atom_site_fract_z
_atom_site_occupancy
Ce1 0.0000 0.0000 0.0000 1
Sm1 0.6667 0.3333 0.5000 1
Sc1 0.0080 0.5040 0.0000 1
Sc2 0.1672 0.3344 0.5000 1
# - energy of formation from the pure elements (eV per formula unit) = 0.382
# - DOS at the Fermi energy (states/eV per cell) = 16.0

***

# CeSm2Sc | the Alexandria database | PBE | optimized geometry
data_CeSm2Sc
_chemical_formula_sum 'Ce1 Sm2 Sc1'
_symmetry_space_group_name_H-M 'P 4/m m m'
_symmetry_Int_Tables_number 123
_symmetry_space_group_name_Hall '-P 4 2'
_cell_length_a 4.966
_cell_length_b 4.966
_cell_length_c 4.906
_cell_angle_alpha 90.00
_cell_angle_beta 90.00
_cell_angle_gamma 90.00
loop_
_atom_site_label
_atom_site_fract_x
_atom_site_fract_y
_atom_site_fract_z
_atom_site_occupancy
Ce1 0.000 0.000 0.000 1
Sm1 0.000 0.500 0.500 1
Sc1 0.500 0.500 0.000 1
# - energy of formation from the pure elements (eV per formula unit) = 0.343
# - distance to the lowest polymorph of the same formula (meV/atom) = 6
# - DOS at the Fermi energy (states/eV per cell) = 7.1

***

# CeSm14Sc | the Alexandria database | PBE | optimized geometry
data_CeSm14Sc
_chemical_formula_sum 'Ce1 Sm14 Sc1'
_symmetry_space_group_name_H-M 'P 4/m m m'
_symmetry_Int_Tables_number 123
_symmetry_space_group_name_Hall '-P 4 2'
_cell_length_a 7.202
_cell_length_b 7.202
_cell_length_c 10.174
_cell_angle_alpha 90.00
_cell_angle_beta 90.00
_cell_angle_gamma 90.00
loop_
_atom_site_label
_atom_site_fract_x
_atom_site_fract_y
_atom_site_fract_z
_atom_site_occupancy
Ce1 0.000 0.000 0.000 1
Sm1 0.000 0.000 0.500 1
Sm2 0.000 0.500 0.000 1
Sm3 0.000 0.500 0.500 1
Sm4 0.251 0.251 0.245 1
Sm5 0.500 0.500 0.500 1
Sc1 0.500 0.500 0.000 1
# - energy of formation from the pure elements (eV per formula unit) = 0.592
# - DOS at the Fermi energy (states/eV per cell) = 26.0

***

# Ce2SmSc | the Alexandria database | PBE | optimized geometry
data_Ce2SmSc
_chemical_formula_sum 'Ce6 Sm3 Sc3'
_symmetry_space_group_name_H-M 'R 3 m'
_symmetry_Int_Tables_number 160
_symmetry_space_group_name_Hall 'R 3 -2"'
_cell_length_a 3.4114
_cell_length_b 3.4114
_cell_length_c 34.0825
_cell_angle_alpha 90.00
_cell_angle_beta 90.00
_cell_angle_gamma 120.00
loop_
_atom_site_label
_atom_site_fract_x
_atom_site_fract_y
_atom_site_fract_z
_atom_site_occupancy
Ce1 0.0000 0.0000 0.0000 1
Ce2 0.0000 0.0000 0.1585 1
Sm1 0.0000 0.0000 0.5813 1
Sc1 0.0000 0.0000 0.4120 1
# - energy of formation from the pure elements (eV per formula unit) = 0.405
# - distance to the lowest polymorph of the same formula (meV/atom) = 0
# - DOS at the Fermi energy (states/eV per cell) = 31.4

***

# Ce3Sm2ScTe6 | the Alexandria database | PBE | optimized geometry
data_Ce3Sm2ScTe6
_chemical_formula_sum 'Ce6 Sm4 Sc2 Te12'
_symmetry_space_group_name_H-M 'C 1 2/m 1'
_symmetry_Int_Tables_number 12
_cell_length_a 19.324
_cell_length_b 4.394
_cell_length_c 8.916
_cell_angle_alpha 90.00
_cell_angle_beta 103.80
_cell_angle_gamma 90.00
loop_
_symmetry_equiv_pos_as_xyz
'x,y,z'
'-x,-y,-z'
'-x,y,-z'
'x,-y,z'
'x+1/2,y+1/2,z'
'-x+1/2,-y+1/2,-z'
'-x+1/2,y+1/2,-z'
'x+1/2,-y+1/2,z'
loop_
_atom_site_label
_atom_site_fract_x
_atom_site_fract_y
_atom_site_fract_z
_atom_site_occupancy
Ce1 0.000 0.000 0.000 1
Ce2 0.171 0.500 0.336 1
Sm1 0.166 0.500 0.834 1
Sc1 0.000 0.000 0.500 1
Te1 0.001 0.500 0.268 1
Te2 0.158 0.000 0.582 1
Te3 0.167 0.000 0.082 1
# - energy relative to the elements, uncorrected (eV per formula unit) = -15.9
# - DOS at the Fermi energy (states/eV per cell) = 47.2

***

# Ce2SmScTe5 | the Alexandria database | PBE | optimized geometry
data_Ce2SmScTe5
_chemical_formula_sum 'Ce2 Sm1 Sc1 Te5'
_symmetry_space_group_name_H-M 'P 4/m m m'
_symmetry_Int_Tables_number 123
_symmetry_space_group_name_Hall '-P 4 2'
_cell_length_a 5.662
_cell_length_b 5.662
_cell_length_c 11.233
_cell_angle_alpha 90.00
_cell_angle_beta 90.00
_cell_angle_gamma 90.00
loop_
_atom_site_label
_atom_site_fract_x
_atom_site_fract_y
_atom_site_fract_z
_atom_site_occupancy
Ce1 0.000 0.000 0.189 1
Sm1 0.500 0.500 0.000 1
Sc1 0.500 0.500 0.500 1
Te1 0.000 0.000 0.500 1
Te2 0.000 0.500 0.000 1
Te3 0.500 0.500 0.264 1
# - energy relative to the elements, uncorrected (eV per formula unit) = -6.5
# - DOS at the Fermi energy (states/eV per cell) = 20.8